Entry from OQMD: Y2Er4LuNi2Te2 after structural relaxation (PBE).

Results
Polymorph energy (0 for the lowest one): 0.010 eV/atom
Space-group type: No. 44
Density: 8.2 g/cm³

```
Y2Er4LuNi2Te2
1.0
-1.913 7.757 4.776
1.913 -7.757 4.776
1.913 7.757 -4.776
Y Er Lu Ni Te
2 4 1 2 2
direct
0.184 0.000 0.184
0.816 0.000 0.816
0.166 0.798 0.368
0.430 0.798 0.632
0.503 0.650 0.854
0.796 0.650 0.146
0.879 0.379 0.500
0.044 0.306 0.739
0.567 0.306 0.261
0.144 0.144 0.000
0.543 0.043 0.500
```

Entry from OQMD: Nd3InPdPt2Pb2 after structural relaxation (PBE).

Results
Electronic total energy: -49.45 eV per cell
Space-group type: No. 38
Density: 11.1 g/cm³

```
Nd3InPdPt2Pb2
1.0
4.011 0.000 0.000
0.000 6.892 3.932
0.000 -6.892 3.932
Nd In Pd Pt Pb
3 1 1 2 2
direct
0.000 0.000 0.000
0.000 0.172 0.580
0.000 0.580 0.172
0.500 0.328 0.328
0.000 0.577 0.577
0.500 0.254 0.928
0.500 0.928 0.254
0.500 0.582 0.839
0.500 0.839 0.582
```

Entry from OQMD: Mg2ScCu after structural relaxation (PBE).

Results
Electronic total energy: -13.43 eV per cell
Space-group type: No. 216
Density: 3.5 g/cm³

```
Mg2ScCu
1.0
0.000 3.333 3.333
3.333 0.000 3.333
3.333 3.333 0.000
Mg Sc Cu
2 1 1
direct
0.000 0.000 0.000
0.250 0.250 0.250
0.750 0.750 0.750
0.500 0.500 0.500
```

Entry from OQMD: Nd2SO6 after structural relaxation (PBE).

Results
Polymorph energy (0 for the lowest one): 0.000 eV/atom
Space-group type: No. 15
Density: 6.0 g/cm³

```
Nd2SO6
1.0
7.002 -2.113 0.000
7.002 2.113 0.000
-2.446 0.000 7.853
Nd S O
4 2 12
direct
0.161 0.176 0.084
0.176 0.161 0.584
0.824 0.839 0.416
0.839 0.824 0.916
0.444 0.556 0.750
0.556 0.444 0.250
0.235 0.764 0.603
0.236 0.765 0.897
0.240 0.268 0.377
0.268 0.240 0.877
0.269 0.548 0.204
0.452 0.731 0.296
0.548 0.269 0.704
0.731 0.452 0.796
0.732 0.760 0.123
0.760 0.732 0.623
0.764 0.235 0.103
0.765 0.236 0.397
```

Entry from OQMD: Tm2ThFe after structural relaxation (PBE).

Results
Formation energy: -122.4 meV/atom
Space-group type: No. 62
Density: 10.3 g/cm³

```
Tm2ThFe
1.0
6.941 0.000 0.000
0.000 9.384 0.000
0.000 0.000 6.202
Tm Th Fe
8 4 4
direct
0.168 0.069 0.174
0.168 0.431 0.174
0.332 0.569 0.674
0.332 0.931 0.674
0.668 0.069 0.326
0.668 0.431 0.326
0.832 0.569 0.826
0.832 0.931 0.826
0.057 0.250 0.652
0.443 0.750 0.152
0.557 0.250 0.848
0.943 0.750 0.348
0.133 0.750 0.980
0.367 0.250 0.480
0.633 0.750 0.520
0.867 0.250 0.020
```

Entry from OQMD: TmAuSeO after structural relaxation (PBE).

Results
Polymorph energy (0 for the lowest one): 0.026 eV/atom
Space-group type: No. 54
Density: 10.4 g/cm³

```
TmAuSeO
1.0
5.526 0.000 0.000
0.000 9.555 0.000
0.000 0.000 5.562
Tm Au Se O
4 4 4 4
direct
0.000 0.112 0.250
0.000 0.888 0.750
0.500 0.112 0.750
0.500 0.888 0.250
0.250 0.500 0.208
0.250 0.500 0.708
0.750 0.500 0.292
0.750 0.500 0.792
0.000 0.275 0.750
0.000 0.725 0.250
0.500 0.275 0.250
0.500 0.725 0.750
0.250 0.000 0.001
0.250 0.000 0.501
0.750 0.000 0.499
0.750 0.000 0.999
```

Entry from OQMD: Dy5Lu2Pd2Se2 after structural relaxation (PBE).

Results
Electronic total energy: -60.23 eV per cell
Space-group type: No. 44
Density: 9.3 g/cm³

```
Dy5Lu2Pd2Se2
1.0
-1.939 7.579 4.673
1.939 -7.579 4.673
1.939 7.579 -4.673
Dy Lu Pd Se
5 2 2 2
direct
0.000 0.000 0.000
0.109 0.747 0.362
0.385 0.747 0.638
0.467 0.589 0.878
0.711 0.589 0.122
0.060 0.380 0.681
0.699 0.380 0.319
0.312 0.074 0.238
0.836 0.074 0.762
0.339 0.339 0.000
0.745 0.245 0.500
```

Entry from OQMD: MgZnS2 after structural relaxation (PBE).

Results
Electronic total energy: -15.49 eV per cell
Space-group type: No. 156
Density: 3.0 g/cm³

```
MgZnS2
1.0
3.934 0.000 0.000
-1.967 3.407 0.000
0.000 0.000 6.407
Mg Zn S
1 1 2
direct
0.000 0.000 0.000
0.667 0.333 0.504
0.000 0.000 0.385
0.667 0.333 0.871
```